# 1
A plane-wave DFT calculation with GGA-PBE was carried out for a relaxed Ti4MnBi crystal.

Summary:
total energy: -0.5468 Ry per atom

abc: 4.861 4.861 8.988
angles: 90.00 90.00 90.00
Positions (direct):
Ti: 0.000 0.500 0.180
Ti: 0.500 0.000 0.820
Ti: 0.500 0.500 0.348
Ti: 0.000 0.000 0.652
Ti: 0.000 0.500 0.820
Ti: 0.500 0.000 0.180
Ti: 0.500 0.500 0.652
Ti: 0.000 0.000 0.348
Mn: 0.500 0.000 0.500
Mn: 0.000 0.500 0.500
Bi: 0.000 0.000 0.000
Bi: 0.500 0.500 0.000

***

# 2
A plane-wave DFT calculation with GGA-PBE was carried out for a relaxed Sr3LiRh crystal.

Summary:
total energy: -0.2191 Ry per atom

abc: 8.519 10.101 4.518
angles: 89.99 74.58 101.64
Positions (direct):
Sr: 0.196 0.967 0.179
Sr: 0.876 0.680 0.839
Sr: 0.486 0.736 0.534
Sr: 0.626 0.347 0.464
Sr: 0.733 0.031 0.910
Sr: 0.135 0.482 0.210
Rh: 0.899 0.347 0.828
Rh: 0.836 0.874 0.359
Li: 0.156 0.237 0.699
Li: 0.937 0.191 0.308

***

# 3
A plane-wave DFT calculation with GGA-PBE was carried out for a relaxed EuZrRuRh crystal.

Summary:
total energy: -0.6732 Ry per atom

abc: 4.770 4.770 4.770
angles: 60.00 60.00 60.00
Positions (direct):
Eu: 0.250 0.250 0.250
Ru: 0.000 0.000 0.000
Rh: 0.500 0.500 0.500
Zr: 0.750 0.750 0.750

***

# 4
A plane-wave DFT calculation with GGA-PBE was carried out for a relaxed Li8CaAg4 crystal.

Summary:
total energy: -0.1747 Ry per atom

abc: 5.662 7.182 7.182
angles: 81.06 66.79 66.79
Positions (direct):
Li: 0.000 0.349 0.651
Li: 0.000 0.651 0.349
Li: 0.349 0.651 0.651
Li: 0.651 0.349 0.349
Li: 0.500 0.777 0.223
Li: 0.500 0.223 0.777
Li: 0.277 0.223 0.223
Li: 0.723 0.777 0.777
Ca: 0.000 0.000 0.000
Ag: 0.000 0.000 0.500
Ag: 0.500 0.000 0.500
Ag: 0.000 0.500 0.000
Ag: 0.500 0.500 0.000

***

# 5
A plane-wave DFT calculation with GGA-PBE was carried out for a relaxed Rb3TlSn8 crystal.

Summary:
total energy: -0.2351 Ry per atom

abc: 6.634 6.634 10.990
angles: 72.43 72.43 60.00
Positions (direct):
Rb: 0.375 0.375 0.874
Rb: 0.999 0.999 0.002
Rb: 0.499 0.499 0.504
Tl: 0.876 0.876 0.372
Sn: 0.927 0.438 0.196
Sn: 0.456 0.934 0.677
Sn: 0.438 0.438 0.196
Sn: 0.934 0.934 0.677
Sn: 0.187 0.187 0.439
Sn: 0.686 0.686 0.941
Sn: 0.438 0.927 0.196
Sn: 0.934 0.456 0.677

***

# 6
A plane-wave DFT calculation with GGA-PBE was carried out for a relaxed Pr8Pd3PtI4 crystal.

Summary:
formation energy without anion corrections: -928 meV per atom

abc: 8.607 9.556 8.609
angles: 116.81 119.99 90.00
Positions (direct):
Pr: 0.228 0.689 0.961
Pr: 0.228 0.689 0.456
Pr: 0.270 0.310 0.540
Pr: 0.732 0.689 0.961
Pr: 0.268 0.311 0.039
Pr: 0.730 0.690 0.460
Pr: 0.772 0.311 0.544
Pr: 0.772 0.311 0.039
Pd: 0.500 0.500 0.000
Pd: 0.500 0.500 0.500
Pd: 0.000 0.500 0.500
Pt: 0.000 0.500 0.000
I: 0.500 0.000 0.000
I: 0.500 0.000 0.500
I: 0.000 0.000 0.000
I: 0.000 0.000 0.500

***

# 7
A plane-wave DFT calculation with GGA-PBE was carried out for a relaxed Pr2YSc crystal.

Summary:
total energy: -0.4037 Ry per atom

abc: 5.670 5.670 5.670
angles: 60.00 60.00 60.00
Positions (direct):
Pr: 0.250 0.250 0.250
Pr: 0.750 0.750 0.750
Y: 0.500 0.500 0.500
Sc: 0.000 0.000 0.000

***

# 8
A plane-wave DFT calculation with GGA-PBE was carried out for a relaxed ZnSi4Mo crystal.

Summary:
formation energy without anion corrections: 387 meV per atom

abc: 4.918 4.918 4.918
angles: 60.00 60.00 60.00
Positions (direct):
Zn: 0.750 0.750 0.750
Si: 0.876 0.375 0.375
Si: 0.375 0.375 0.876
Si: 0.375 0.876 0.375
Si: 0.375 0.375 0.375
Mo: 0.000 0.000 0.000

***

Computed M_tot, in the same sequence as the records: 1.394 0.000 6.708 0.000 0.000 0.000 0.000 0.000 μB per formula unit.